Entry 1:
# Pm2Pr3Nd7

A geometry-optimized Pm2Pr3Nd7 structure (PBE, Alexandria).

Symmetry ... P2/m, No. 10
Relative energy among the computed polymorphs ... 0.00 kcal/mol of atoms
Total energy ... -4.69 eV/atom
Calculated formation energy ... 80 meV/atom
Magnetization ... 0.0 μB/cell
Density ... 6.67 g/cm3

Cell lengths 6.0314, 3.6637, 19.4276 Å; angles 90.00, 93.05, 90.00 degrees
Closest atoms and distances in Å follow each position.
Sites, in units of the cell vectors:
1 Pm 0.2085 0.0000 0.2950  3 Nd 3.27-3.45, 2 Pm 3.66
2 Pm 0.7915 0.0000 0.7050  3 Nd 3.27-3.45, 2 Pm 3.66
3 Pr 0.0000 0.0000 0.0000  8 Nd 3.49-3.53, 2 Pr 3.66
4 Pr 0.2820 0.5000 0.6333  2 Pr 3.66, 8 Nd 3.77-4.10, 4 Pm 3.78-3.81
5 Pr 0.7180 0.5000 0.3667  2 Pr 3.66, 8 Nd 3.77-4.10, 4 Pm 3.78-3.81
6 Nd 0.1846 0.5000 0.1446  2 Pm 3.45, 7 Nd 3.48-3.66, 2 Pr 3.49
7 Nd 0.2431 0.0000 0.4638  1 Pm 3.27, 4 Nd 3.32-3.66
8 Nd 0.3134 0.0000 0.8222  6 Nd 3.57-3.66, 2 Pm 3.77-3.79
9 Nd 0.5000 0.5000 0.0000  4 Nd 3.48-3.66, 4 Pr 3.53
10 Nd 0.6866 0.0000 0.1778  6 Nd 3.57-3.66, 2 Pm 3.77-3.79
11 Nd 0.7569 0.0000 0.5362  1 Pm 3.27, 4 Nd 3.32-3.66
12 Nd 0.8154 0.5000 0.8554  2 Pm 3.45, 7 Nd 3.48-3.66, 2 Pr 3.49

---

Entry 2:
# YTi2Si2

A geometry-optimized YTi2Si2 structure (PBE, Alexandria).

Symmetry ... I4/mmm, No. 139
Relative energy among the computed polymorphs ... 11.07 kcal/mol of atoms
Total energy ... -6.84 eV/atom
Magnetization ... 2.5 μB/cell
Density ... 4.00 g/cm3

Cell lengths 5.5677, 5.5677, 5.5677 Å; angles 129.62, 129.62, 74.01 degrees
Closest atoms and distances in Å follow each position.
Sites, in units of the cell vectors:
1 Y 0.0000 0.0000 0.0000  2 Ti 3.03, 8 Si 3.25
2 Ti 0.3412 0.3412 0.0000  4 Si 2.50
3 Ti 0.6588 0.6588 0.0000  4 Si 2.50
4 Si 0.2500 0.7500 0.5000  4 Ti 2.50
5 Si 0.7500 0.2500 0.5000  4 Ti 2.50

---

Entry 3:
# K3SrS

A geometry-optimized K3SrS structure (PBE, Alexandria).

Symmetry ... Pm-3m, No. 221
Relative energy among the computed polymorphs ... 23.86 kcal/mol of atoms
Total energy ... -1.17 eV/atom
Magnetization ... 1.0 μB/cell
Density ... 0.98 g/cm3

Cell lengths 7.3847, 7.3847, 7.3847 Å; angles 90.00, 90.00, 90.00 degrees
Closest atoms and distances in Å follow each position.
Sites, in units of the cell vectors:
1 K 0.0000 0.0000 0.5000  2 Sr 3.69
2 K 0.0000 0.5000 0.0000  2 Sr 3.69
3 K 0.5000 0.0000 0.0000  2 Sr 3.69
4 Sr 0.0000 0.0000 0.0000  6 K 3.69
5 S 0.5000 0.5000 0.5000  12 K 5.22

---

Entry 4:
# SmSc2Ni

A geometry-optimized SmSc2Ni structure (PBE, Alexandria).

Symmetry ... P4/mmm, No. 123
Relative energy among the computed polymorphs ... 0.61 kcal/mol of atoms
Total energy ... -6.00 eV/atom
Calculated formation energy ... -206 meV/atom
Magnetization ... 0.0 μB/cell
Density ... 5.60 g/cm3

Cell lengths 3.2634, 3.2634, 8.3260 Å; angles 90.00, 90.00, 90.00 degrees
Closest atoms and distances in Å follow each position.
Sites, in units of the cell vectors:
1 Sm 0.0000 0.0000 0.0000  4 Sm 3.26, 8 Sc 3.52
2 Sc 0.5000 0.5000 0.3190  4 Ni 2.76, 1 Sc 3.01
3 Sc 0.5000 0.5000 0.6810  4 Ni 2.76, 1 Sc 3.01
4 Ni 0.0000 0.0000 0.5000  8 Sc 2.76